## P
The following is a DFT calculation (PBE-GGA) of an optimized crystal structure of NaSn2Te2.

Properties
calculated volume	34.435	Å³ per atom
calculated density	4.97	g/cm3

Cell and atoms, written as extended XYZ:
```
5
Lattice="4.356 -3.118 0.000 4.356 3.118 0.000 -2.238 0.000 6.337" Properties=species:S:1:pos:R:3 pbc="T T T"
Na 0.000 0.000 0.000
Sn 3.237 1.537 3.169
Sn 3.237 -1.537 3.169
Te 0.855 0.000 4.980
Te 5.620 0.000 1.357
```

---

## Q
The following is a DFT calculation (PBE-GGA) of an optimized crystal structure of NaSn2Te2.

Properties
calculated volume	31.982	Å³ per atom
calculated density	5.35	g/cm3

Cell and atoms, written as extended XYZ:
```
5
Lattice="-2.209 2.209 8.196 2.209 -2.209 8.196 2.209 2.209 -8.196" Properties=species:S:1:pos:R:3 pbc="T T T"
Na 0.000 0.000 0.000
Sn 2.209 0.000 4.098
Sn 0.000 2.209 4.098
Te 0.000 0.000 6.674
Te 0.000 0.000 9.719
```

---

Energy above the most stable structure, in meV/atom: P 37; Q 0

---

## P
The following is a DFT calculation (PBE-GGA) of an optimized crystal structure of NaSn3Te.

Properties
calculated volume	41.924	Å³ per atom
calculated density	4.01	g/cm3

Cell and atoms, written as extended XYZ:
```
5
Lattice="5.940 0.000 0.000 0.000 5.940 0.000 0.000 0.000 5.940" Properties=species:S:1:pos:R:3 pbc="T T T"
Na 0.000 0.000 0.000
Sn 0.000 2.970 2.970
Sn 2.970 0.000 2.970
Sn 2.970 2.970 0.000
Te 2.970 2.970 2.970
```

---

## Q
The following is a DFT calculation (PBE-GGA) of an optimized crystal structure of NaSn3Te.

Properties
calculated volume	32.751	Å³ per atom
calculated density	5.14	g/cm3

Cell and atoms, written as extended XYZ:
```
5
Lattice="5.471 0.000 0.000 0.000 5.471 0.000 0.000 0.000 5.471" Properties=species:S:1:pos:R:3 pbc="T T T"
Na 0.000 0.000 0.000
Sn 0.000 0.000 2.735
Sn 0.000 2.735 0.000
Sn 2.735 0.000 0.000
Te 2.735 2.735 2.735
```

---

Energy above the most stable structure, in meV/atom: P 0; Q 158

---

## P
The following is a DFT calculation (PBE-GGA) of an optimized crystal structure of NaTi3Sn.

Properties
calculated volume	29.179	Å³ per atom
calculated density	3.25	g/cm3

Cell and atoms, written as extended XYZ:
```
5
Lattice="5.264 0.000 0.000 0.000 5.264 0.000 0.000 0.000 5.264" Properties=species:S:1:pos:R:3 pbc="T T T"
Na 0.000 0.000 0.000
Ti 0.000 2.632 2.632
Ti 2.632 0.000 2.632
Ti 2.632 2.632 0.000
Sn 2.632 2.632 2.632
```

---

## Q
The following is a DFT calculation (PBE-GGA) of an optimized crystal structure of NaTi3Sn.

Properties
calculated volume	20.785	Å³ per atom
calculated density	4.56	g/cm3

Cell and atoms, written as extended XYZ:
```
5
Lattice="4.702 0.000 0.000 0.000 4.702 0.000 0.000 0.000 4.702" Properties=species:S:1:pos:R:3 pbc="T T T"
Na 0.000 0.000 0.000
Ti 0.000 0.000 2.351
Ti 0.000 2.351 0.000
Ti 2.351 0.000 0.000
Sn 2.351 2.351 2.351
```

---

Energy above the most stable structure, in meV/atom: P 0; Q 247

---

## P
The following is a DFT calculation (PBE-GGA) of an optimized crystal structure of Na3TiSn.

Properties
calculated volume	37.778	Å³ per atom
calculated density	2.07	g/cm3

Cell and atoms, written as extended XYZ:
```
5
Lattice="5.738 0.000 0.000 0.000 5.738 0.000 0.000 0.000 5.738" Properties=species:S:1:pos:R:3 pbc="T T T"
Na 0.000 0.000 2.869
Na 0.000 2.869 0.000
Na 2.869 0.000 0.000
Ti 2.869 2.869 2.869
Sn 0.000 0.000 0.000
```

---

## Q
The following is a DFT calculation (PBE-GGA) of an optimized crystal structure of Na3TiSn.

Properties
calculated volume	37.067	Å³ per atom
calculated density	2.11	g/cm3

Cell and atoms, written as extended XYZ:
```
5
Lattice="5.701 0.000 0.000 0.000 5.701 0.000 0.000 0.000 5.701" Properties=species:S:1:pos:R:3 pbc="T T T"
Na 0.000 0.000 2.851
Na 0.000 2.851 0.000
Na 2.851 0.000 0.000
Ti 0.000 0.000 0.000
Sn 2.851 2.851 2.851
```

---

Energy above the most stable structure, in meV/atom: P 0; Q 99